# IrRuPt PBE-GGA relaxed
data_IrRuPt
_cell_length_a 2.750
_cell_length_b 14.465
_cell_length_c 4.446
_cell_angle_alpha 90.00
_cell_angle_beta 90.00
_cell_angle_gamma 90.00
_symmetry_space_group_name_H-M 'C m c m'
_symmetry_Int_Tables_number 63
_symmetry_space_group_name_Hall '-C 2c 2'
loop_
_atom_site_label
_atom_site_type_symbol
_atom_site_fract_x
_atom_site_fract_y
_atom_site_fract_z
_atom_site_occupancy
Ir1 Ir 0.000 0.106 0.250 1
Ru1 Ru 0.000 0.448 0.250 1
Pt1 Pt 0.000 0.217 0.750 1
# Relative energy among the computed polymorphs, meV per atom: 64
# Energy of formation, eV/atom: 0.035